First-principles (PBE) data for a geometry-optimized Pm2Zn4CdAu3 structure, as listed in the Alexandria database.

Cell and atoms, written as CIF:
```
data_Pm2Zn4CdAu3
_chemical_formula_sum 'Pm2 Zn4 Cd1 Au3'
_space_group_name_H-M_alt 'P -4 m 2'
_space_group_IT_number 115
_space_group_name_Hall 'P -4 -2'
_cell_length_a 4.198
_cell_length_b 4.198
_cell_length_c 11.775
_cell_angle_alpha 90.00
_cell_angle_beta 90.00
_cell_angle_gamma 90.00
loop_
_atom_site_label
_atom_site_type_symbol
_atom_site_fract_x
_atom_site_fract_y
_atom_site_fract_z
_atom_site_occupancy
Pm1 Pm 0.000 0.500 0.244 1
Zn1 Zn 0.000 0.000 0.000 1
Zn2 Zn 0.000 0.500 0.643 1
Zn3 Zn 0.500 0.500 0.000 1
Cd1 Cd 0.000 0.000 0.500 1
Au1 Au 0.000 0.500 0.860 1
Au2 Au 0.500 0.500 0.500 1
```

Summary:
**Crystal system**: tetragonal
**Volume**: 207.5 Å³ per cell
**Total magnetization**: 0.0 μB per cell
**Energy**: -3.0078 eV/atom
**Formation energy**: -456.7 kJ/mol of formula units


First-principles (PBE) data for a geometry-optimized Pm2ZnCdAu6 structure, as listed in the Alexandria database.

Cell and atoms, written as CIF:
```
data_Pm2ZnCdAu6
_chemical_formula_sum 'Pm2 Zn1 Cd1 Au6'
_space_group_name_H-M_alt 'P -1'
_space_group_IT_number 2
_space_group_name_Hall '-P 1'
_cell_length_a 5.315
_cell_length_b 6.294
_cell_length_c 7.331
_cell_angle_alpha 114.28
_cell_angle_beta 98.00
_cell_angle_gamma 98.94
loop_
_atom_site_label
_atom_site_type_symbol
_atom_site_fract_x
_atom_site_fract_y
_atom_site_fract_z
_atom_site_occupancy
Pm1 Pm 0.119 0.325 0.271 1
Zn1 Zn 0.000 0.000 0.500 1
Cd1 Cd 0.500 0.000 0.000 1
Au1 Au 0.152 0.759 0.149 1
Au2 Au 0.347 0.425 0.774 1
Au3 Au 0.394 0.819 0.571 1
```

Summary:
**Crystal system**: triclinic
**Volume**: 215.2 Å³ per cell
**Total magnetization**: 0.0 μB per cell
**Energy**: -3.5914 eV/atom
**Formation energy**: -439.9 kJ/mol of formula units


First-principles (PBE) data for a geometry-optimized PmZrCdAu structure, as listed in the Alexandria database.

Cell and atoms, written as CIF:
```
data_PmZrCdAu
_chemical_formula_sum 'Pm4 Zr4 Cd4 Au4'
_space_group_name_H-M_alt 'F -4 3 m'
_space_group_IT_number 216
_space_group_name_Hall 'F -4 2 3'
_cell_length_a 7.250
_cell_length_b 7.250
_cell_length_c 7.250
_cell_angle_alpha 90.00
_cell_angle_beta 90.00
_cell_angle_gamma 90.00
loop_
_atom_site_label
_atom_site_type_symbol
_atom_site_fract_x
_atom_site_fract_y
_atom_site_fract_z
_atom_site_occupancy
Pm1 Pm 0.000 0.000 0.000 1
Zr1 Zr 0.000 0.000 0.500 1
Cd1 Cd 0.250 0.250 0.750 1
Au1 Au 0.250 0.250 0.250 1
```

Summary:
**Crystal system**: cubic
**Volume**: 381.0 Å³ per cell
**Total magnetization**: 5.1 μB per cell
**Energy**: -4.6619 eV/atom
**Formation energy**: -111.6 kJ/mol of formula units


First-principles (PBE) data for a geometry-optimized PrCdAu3 structure, as listed in the Alexandria database.

Cell and atoms, written as CIF:
```
data_PrCdAu3
_chemical_formula_sum 'Pr2 Cd2 Au6'
_space_group_name_H-M_alt 'P 1 21/m 1'
_space_group_IT_number 11
_space_group_name_Hall '-P 2yb'
_cell_length_a 5.626
_cell_length_b 5.976
_cell_length_c 6.628
_cell_angle_alpha 90.00
_cell_angle_beta 91.50
_cell_angle_gamma 90.00
loop_
_atom_site_label
_atom_site_type_symbol
_atom_site_fract_x
_atom_site_fract_y
_atom_site_fract_z
_atom_site_occupancy
Pr1 Pr 0.175 0.250 0.160 1
Cd1 Cd 0.090 0.750 0.397 1
Au1 Au 0.326 0.750 0.043 1
Au2 Au 0.346 0.010 0.682 1
```

Summary:
**Crystal system**: monoclinic
**Volume**: 222.8 Å³ per cell
**Total magnetization**: 0.0 μB per cell
**Energy**: -3.6072 eV/atom
**Formation energy**: -242.1 kJ/mol of formula units


First-principles (PBE) data for a geometry-optimized PrCdAu6 structure, as listed in the Alexandria database.

Cell and atoms, written as CIF:
```
data_PrCdAu6
_chemical_formula_sum 'Pr1 Cd1 Au6'
_space_group_name_H-M_alt 'P m -3'
_space_group_IT_number 200
_space_group_name_Hall '-P 2 2 3'
_cell_length_a 5.498
_cell_length_b 5.498
_cell_length_c 5.498
_cell_angle_alpha 90.00
_cell_angle_beta 90.00
_cell_angle_gamma 90.00
loop_
_atom_site_label
_atom_site_type_symbol
_atom_site_fract_x
_atom_site_fract_y
_atom_site_fract_z
_atom_site_occupancy
Pr1 Pr 0.000 0.000 0.000 1
Cd1 Cd 0.500 0.500 0.500 1
Au1 Au 0.000 0.253 0.500 1
```

Summary:
**Crystal system**: cubic
**Volume**: 166.2 Å³ per cell
**Total magnetization**: 0.0 μB per cell
**Energy**: -3.4855 eV/atom
**Formation energy**: -243.6 kJ/mol of formula units


First-principles (PBE) data for a geometry-optimized Pr2CdAu structure, as listed in the Alexandria database.

Cell and atoms, written as CIF:
```
data_Pr2CdAu
_chemical_formula_sum 'Pr6 Cd3 Au3'
_space_group_name_H-M_alt 'R -3 m'
_space_group_IT_number 166
_space_group_name_Hall '-R 3 2"'
_cell_length_a 4.0575
_cell_length_b 4.0575
_cell_length_c 26.2649
_cell_angle_alpha 90.00
_cell_angle_beta 90.00
_cell_angle_gamma 120.00
loop_
_atom_site_label
_atom_site_type_symbol
_atom_site_fract_x
_atom_site_fract_y
_atom_site_fract_z
_atom_site_occupancy
Pr1 Pr 0.0000 0.0000 0.2415 1
Cd1 Cd 0.0000 0.0000 0.0000 1
Au1 Au 0.0000 0.0000 0.5000 1
```

Summary:
**Crystal system**: trigonal
**Volume**: 374.5 Å³ per cell
**Total magnetization**: 0.0 μB per cell
**Energy**: -3.7890 eV/atom
**Formation energy**: -135.5 kJ/mol of formula units


First-principles (PBE) data for a geometry-optimized PrCd3Au3 structure, as listed in the Alexandria database.

Cell and atoms, written as CIF:
```
data_PrCd3Au3
_chemical_formula_sum 'Pr2 Cd6 Au6'
_space_group_name_H-M_alt 'P m -3 n'
_space_group_IT_number 223
_space_group_name_Hall '-P 4n 2 3'
_cell_length_a 7.488
_cell_length_b 7.488
_cell_length_c 7.488
_cell_angle_alpha 90.00
_cell_angle_beta 90.00
_cell_angle_gamma 90.00
loop_
_atom_site_label
_atom_site_type_symbol
_atom_site_fract_x
_atom_site_fract_y
_atom_site_fract_z
_atom_site_occupancy
Pr1 Pr 0.000 0.000 0.000 1
Cd1 Cd 0.000 0.250 0.500 1
Au1 Au 0.000 0.500 0.250 1
```

Summary:
**Crystal system**: cubic
**Volume**: 419.9 Å³ per cell
**Total magnetization**: 0.0 μB per cell
**Energy**: -2.3172 eV/atom
**Formation energy**: 109.6 kJ/mol of formula units


First-principles (PBE) data for a geometry-optimized Pr2Cd3Au4 structure, as listed in the Alexandria database.

Cell and atoms, written as CIF:
```
data_Pr2Cd3Au4
_chemical_formula_sum 'Pr8 Cd12 Au16'
_space_group_name_H-M_alt 'C m c e'
_space_group_IT_number 64
_space_group_name_Hall '-C 2ac 2'
_cell_length_a 6.101
_cell_length_b 16.164
_cell_length_c 8.534
_cell_angle_alpha 90.00
_cell_angle_beta 90.00
_cell_angle_gamma 90.00
loop_
_atom_site_label
_atom_site_type_symbol
_atom_site_fract_x
_atom_site_fract_y
_atom_site_fract_z
_atom_site_occupancy
Pr1 Pr 0.000 0.116 0.083 1
Cd1 Cd 0.000 0.000 0.500 1
Cd2 Cd 0.250 0.216 0.750 1
Au1 Au 0.000 0.182 0.460 1
Au2 Au 0.250 0.042 0.750 1
```

Summary:
**Crystal system**: orthorhombic
**Volume**: 841.7 Å³ per cell
**Total magnetization**: 0.0 μB per cell
**Energy**: -3.3120 eV/atom
**Formation energy**: -424.0 kJ/mol of formula units


First-principles (PBE) data for a geometry-optimized Pr2CdAu structure, as listed in the Alexandria database.

Cell and atoms, written as CIF:
```
data_Pr2CdAu
_chemical_formula_sum 'Pr8 Cd4 Au4'
_space_group_name_H-M_alt 'F m -3 m'
_space_group_IT_number 225
_space_group_name_Hall '-F 4 2 3'
_cell_length_a 7.622
_cell_length_b 7.622
_cell_length_c 7.622
_cell_angle_alpha 90.00
_cell_angle_beta 90.00
_cell_angle_gamma 90.00
loop_
_atom_site_label
_atom_site_type_symbol
_atom_site_fract_x
_atom_site_fract_y
_atom_site_fract_z
_atom_site_occupancy
Pr1 Pr 0.250 0.250 0.250 1
Cd1 Cd 0.000 0.000 0.000 1
Au1 Au 0.000 0.000 0.500 1
```

Summary:
**Crystal system**: cubic
**Volume**: 442.8 Å³ per cell
**Total magnetization**: 1.0 μB per cell
**Energy**: -3.9354 eV/atom
**Formation energy**: -192.0 kJ/mol of formula units


First-principles (PBE) data for a geometry-optimized PrCdAu4 structure, as listed in the Alexandria database.

Cell and atoms, written as CIF:
```
data_PrCdAu4
_chemical_formula_sum 'Pr2 Cd2 Au8'
_space_group_name_H-M_alt 'C 1 2/m 1'
_space_group_IT_number 12
_space_group_name_Hall '-C 2y'
_cell_length_a 8.257
_cell_length_b 4.766
_cell_length_c 6.717
_cell_angle_alpha 90.00
_cell_angle_beta 90.10
_cell_angle_gamma 90.00
loop_
_atom_site_label
_atom_site_type_symbol
_atom_site_fract_x
_atom_site_fract_y
_atom_site_fract_z
_atom_site_occupancy
Pr1 Pr 0.000 0.000 0.000 1
Cd1 Cd 0.000 0.000 0.500 1
Au1 Au 0.166 0.500 0.731 1
Au2 Au 0.167 0.500 0.269 1
```

Summary:
**Crystal system**: monoclinic
**Volume**: 264.4 Å³ per cell
**Total magnetization**: 0.0 μB per cell
**Energy**: -3.6070 eV/atom
**Formation energy**: -273.8 kJ/mol of formula units